NiPIr (GGA-PBEsol, relaxed); calculated volume = 14.21 Å³/atom; M_tot = 0.0 Bohr magnetons per cell; N(E_F) = 1.8 states/eV/cell; total energy = -22.11 eV for the cell shown; energy of formation = -113 meV per atom
1.0
-0.554 -3.777 -0.896
2.628 -1.897 -2.207
2.287 -2.751 1.605
Ir Ni P
1 1 1
Cartesian
1.090 -2.106 -0.375
0.000 0.000 0.000
2.181 -4.212 -0.749